Record 1
First-principles (PBE) data for a relaxed structure of CoOsPt2, as listed in Alexandria.

Output
Volume (Å³/cell): 57.2
Formation energy (eV per formula unit): 0.3
Total magnetic moment (μB/atom): 0.555
Density of states at the Fermi level (states/eV per cell): 4.75

abc: 9.010 9.010 9.010
angles: 17.41 17.41 17.41
Each line ends with the local moment (μB).
Sites, in units of the cell vectors:
Pt (0.997, 0.997, 0.997)  0.18
Pt (0.503, 0.503, 0.503)  0.18
Os (0.750, 0.750, 0.750)  0.02
Co (0.250, 0.250, 0.250)  1.87

Record 2
First-principles (PBE) data for a relaxed structure of CoOsPt2, as listed in Alexandria.

Output
Volume (Å³/cell): 56.8
Formation energy (eV per formula unit): 0.4
Total magnetic moment (μB/atom): 0.400
Density of states at the Fermi level (states/eV per cell): 5.93

abc: 2.737 2.737 7.587
angles: 90.00 90.00 90.01
Each line ends with the local moment (μB).
Sites, in units of the cell vectors:
Pt (0.000, 0.000, 0.492)  0.12
Pt (0.000, 0.000, 0.008)  0.12
Co (0.500, 0.500, 0.250)  1.76
Os (0.500, 0.500, 0.750)  -0.35

Record 3
First-principles (PBE) data for a relaxed structure of CoOs2Pt, as listed in Alexandria.

Output
Volume (Å³/cell): 56.0
Formation energy (eV per formula unit): 0.4
Total magnetic moment (μB/atom): 0.363
Density of states at the Fermi level (states/eV per cell): 4.20

abc: 8.890 8.890 8.890
angles: 17.59 17.59 17.59
Each line ends with the local moment (μB).
Sites, in units of the cell vectors:
Os (0.254, 0.254, 0.254)  -0.07
Os (0.002, 0.002, 0.002)  -0.04
Co (0.748, 0.748, 0.748)  1.51
Pt (0.497, 0.497, 0.497)  0.09

Record 4
First-principles (PBE) data for a relaxed structure of CoOsPt, as listed in Alexandria.

Output
Volume (Å³/cell): 41.3
Formation energy (eV per formula unit): 0.3
Total magnetic moment (μB/atom): 0.453
Density of states at the Fermi level (states/eV per cell): 3.49

abc: 2.707 2.707 6.509
angles: 90.00 90.00 120.00
Each line ends with the local moment (μB).
Sites, in units of the cell vectors:
Co (0.000, 0.000, 0.010)  1.36
Os (0.667, 0.333, 0.315)  -0.06
Pt (0.333, 0.667, 0.675)  0.07

Record 5
First-principles (PBE) data for a relaxed structure of CoOsPt3, as listed in Alexandria.

Output
Volume (Å³/cell): 109.7
Formation energy (eV per formula unit): 9.1
Total magnetic moment (μB/atom): 0.003
Density of states at the Fermi level (states/eV per cell): 12.67

abc: 4.788 4.788 4.788
angles: 90.00 90.00 90.00
Sites, in units of the cell vectors:
Pt (0.000, 0.000, 0.500)
Pt (0.000, 0.500, 0.000)
Os (0.000, 0.000, 0.000)
Pt (0.500, 0.000, 0.000)
Co (0.500, 0.500, 0.500)

Record 6
First-principles (PBE) data for a relaxed structure of CoOs2Pt, as listed in Alexandria.

Output
Volume (Å³/cell): 55.5
Formation energy (eV per formula unit): 0.4
Total magnetic moment (μB/atom): 0.400
Density of states at the Fermi level (states/eV per cell): 4.55

abc: 2.723 2.723 7.483
angles: 90.00 90.00 90.00
Each line ends with the local moment (μB).
Sites, in units of the cell vectors:
Os (0.000, 0.000, 0.994)  0.08
Os (0.500, 0.500, 0.239)  -0.05
Pt (0.000, 0.000, 0.511)  0.12
Co (0.500, 0.500, 0.757)  1.46

Record 7
First-principles (PBE) data for a relaxed structure of CoOs2Pt, as listed in Alexandria.

Output
Volume (Å³/cell): 57.1
Formation energy (eV per formula unit): 2.1
Total magnetic moment (μB/atom): 0.664
Density of states at the Fermi level (states/eV per cell): 5.01

abc: 4.321 4.321 4.321
angles: 60.00 60.00 60.00
Each line ends with the local moment (μB).
Sites, in units of the cell vectors:
Co (0.500, 0.500, 0.500)  1.63
Pt (0.750, 0.750, 0.750)  0.13
Os (0.000, 0.000, 0.000)  0.33
Os (0.250, 0.250, 0.250)  0.58

Record 8
First-principles (PBE) data for a relaxed structure of CoOsPt2, as listed in Alexandria.

Output
Volume (Å³/cell): 57.8
Formation energy (eV per formula unit): 1.0
Total magnetic moment (μB/atom): 0.541
Density of states at the Fermi level (states/eV per cell): 5.50

abc: 3.248 3.248 5.479
angles: 90.00 90.00 90.00
Each line ends with the local moment (μB).
Sites, in units of the cell vectors:
Pt (0.500, 0.500, 0.262)  0.09
Pt (0.000, 0.000, 0.990)  0.06
Co (0.000, 0.000, 0.511)  1.51
Os (0.500, 0.500, 0.737)  0.50

Record 9
First-principles (PBE) data for a relaxed structure of CoOsPt2, as listed in Alexandria.

Output
Volume (Å³/cell): 57.2
Formation energy (eV per formula unit): 0.6
Total magnetic moment (μB/atom): 0.537
Density of states at the Fermi level (states/eV per cell): 5.01

abc: 2.708 4.736 5.444
angles: 54.95 90.00 90.00
Each line ends with the local moment (μB).
Sites, in units of the cell vectors:
Co (0.500, 0.500, 0.500)  1.67
Pt (0.500, 0.500, 0.000)  0.13
Pt (0.000, 0.000, 0.000)  0.22
Os (0.000, 0.000, 0.500)  0.18

Record 10
First-principles (PBE) data for a relaxed structure of CoOs2Pt, as listed in Alexandria.

Output
Volume (Å³/cell): 57.7
Formation energy (eV per formula unit): 1.8
Total magnetic moment (μB/atom): 0.534
Density of states at the Fermi level (states/eV per cell): 6.18

abc: 2.678 2.678 9.171
angles: 90.00 90.00 118.75
Each line ends with the local moment (μB).
Sites, in units of the cell vectors:
Os (0.000, 0.000, 0.991)  0.36
Co (0.500, 0.500, 0.757)  1.73
Pt (0.000, 0.000, 0.511)  0.06
Os (0.500, 0.500, 0.241)  0.01

Record 11
First-principles (PBE) data for a relaxed structure of Co3OsPt, as listed in Alexandria.

Output
Volume (Å³/cell): 84.4
Formation energy (eV per formula unit): 7.8
Total magnetic moment (μB/atom): 0.448
Density of states at the Fermi level (states/eV per cell): 9.61

abc: 4.386 4.386 4.386
angles: 90.00 90.00 90.00
Each line ends with the local moment (μB).
Sites, in units of the cell vectors:
Pt (0.500, 0.500, 0.500)  0.14
Co (0.000, 0.500, 0.000)  0.70
Os (0.000, 0.000, 0.000)  -0.01
Co (0.000, 0.000, 0.500)  0.60
Co (0.500, 0.000, 0.000)  0.83

Record 12
First-principles (PBE) data for a relaxed structure of CoOs2Pt, as listed in Alexandria.

Output
Volume (Å³/cell): 157.2
Formation energy (eV per formula unit): 5.2
Total magnetic moment (μB/atom): 0.000
Density of states at the Fermi level (states/eV per cell): 5.68

abc: 5.369 5.369 6.643
angles: 66.16 66.16 90.00
Sites, in units of the cell vectors:
Pt (0.750, 0.250, 0.500)
Co (0.500, 0.500, 0.000)
Os (0.875, 0.845, 0.750)
Os (0.595, 0.125, 0.250)
Pt (0.000, 0.000, 0.000)
Co (0.250, 0.750, 0.500)
Os (0.155, 0.625, 0.250)
Os (0.375, 0.405, 0.750)